Material: RbSe2Br2
Method: DFT, PBE
State: optimized geometry

a b c (Å): 3.748 3.748 12.514
angles (deg): 81.39 81.39 90.00
Atoms (fractional coordinates):
Se (0.250, 0.750, 0.500)
Rb (0.000, 0.000, 0.000)
Se (0.750, 0.250, 0.500)
Br (0.591, 0.591, 0.818)
Br (0.409, 0.409, 0.182)

## Properties
ΔE_f (raw)   -0.405 eV per atom
E   -13.31 eV/f.u.
N(E_F)   2.948 states/eV per cell